## A
VASP calculation (PBE) on a geometry-optimized Ag15Te structure.

```
data_Ag15Te
_cell_length_a 4.169
_cell_length_b 39.035
_cell_length_c 8.198
_cell_angle_alpha 90.00
_cell_angle_beta 90.33
_cell_angle_gamma 90.00
_space_group_name_H-M_alt 'P 1'
_space_group_IT_number 1
_space_group_name_Hall 'P 1'
loop_
_atom_site_label
_atom_site_type_symbol
_atom_site_fract_x
_atom_site_fract_y
_atom_site_fract_z
Ag1 Ag 0.250 0.152 0.120
Ag2 Ag 0.750 0.848 0.120
Ag3 Ag 0.250 0.792 0.121
Ag4 Ag 0.750 0.208 0.121
Ag5 Ag 0.250 0.686 0.124
Ag6 Ag 0.750 0.314 0.125
Ag7 Ag 0.250 0.580 0.125
Ag8 Ag 0.750 0.420 0.125
Ag9 Ag 0.750 0.527 0.125
Ag10 Ag 0.250 0.473 0.125
Ag11 Ag 0.250 0.367 0.125
Ag12 Ag 0.750 0.633 0.125
Ag13 Ag 0.250 0.261 0.126
Ag14 Ag 0.750 0.739 0.126
Ag15 Ag 0.750 0.157 0.372
Ag16 Ag 0.250 0.843 0.372
Ag17 Ag 0.750 0.792 0.373
Ag18 Ag 0.250 0.208 0.373
Ag19 Ag 0.750 0.261 0.374
Ag20 Ag 0.250 0.739 0.374
Ag21 Ag 0.250 0.633 0.375
Ag22 Ag 0.750 0.367 0.375
Ag23 Ag 0.250 0.527 0.375
Ag24 Ag 0.750 0.473 0.375
Ag25 Ag 0.250 0.420 0.375
Ag26 Ag 0.750 0.580 0.375
Ag27 Ag 0.750 0.686 0.376
Ag28 Ag 0.250 0.314 0.376
Ag29 Ag 0.750 0.900 0.390
Ag30 Ag 0.250 0.100 0.390
Ag31 Ag 0.750 0.100 0.610
Ag32 Ag 0.250 0.900 0.610
Ag33 Ag 0.750 0.314 0.624
Ag34 Ag 0.250 0.686 0.624
Ag35 Ag 0.250 0.580 0.625
Ag36 Ag 0.750 0.420 0.625
Ag37 Ag 0.250 0.473 0.625
Ag38 Ag 0.750 0.527 0.625
Ag39 Ag 0.250 0.367 0.625
Ag40 Ag 0.750 0.633 0.625
Ag41 Ag 0.750 0.739 0.626
Ag42 Ag 0.250 0.261 0.626
Ag43 Ag 0.750 0.208 0.627
Ag44 Ag 0.250 0.792 0.627
Ag45 Ag 0.750 0.843 0.628
Ag46 Ag 0.250 0.157 0.628
Ag47 Ag 0.250 0.739 0.874
Ag48 Ag 0.750 0.261 0.874
Ag49 Ag 0.250 0.633 0.875
Ag50 Ag 0.750 0.367 0.875
Ag51 Ag 0.750 0.473 0.875
Ag52 Ag 0.250 0.527 0.875
Ag53 Ag 0.250 0.420 0.875
Ag54 Ag 0.750 0.580 0.875
Ag55 Ag 0.250 0.314 0.875
Ag56 Ag 0.750 0.686 0.876
Ag57 Ag 0.250 0.208 0.879
Ag58 Ag 0.750 0.792 0.879
Ag59 Ag 0.250 0.848 0.880
Ag60 Ag 0.750 0.152 0.880
Te1 Te 0.250 0.907 0.179
Te2 Te 0.750 0.093 0.179
Te3 Te 0.250 0.093 0.821
Te4 Te 0.750 0.907 0.821
```

## B
VASP calculation (PBE) on a geometry-optimized Ag15Te structure.

```
data_Ag15Te
_cell_length_a 4.980
_cell_length_b 31.890
_cell_length_c 4.985
_cell_angle_alpha 90.00
_cell_angle_beta 108.57
_cell_angle_gamma 90.00
_space_group_name_H-M_alt 'P 1'
_space_group_IT_number 1
_space_group_name_Hall 'P 1'
loop_
_atom_site_label
_atom_site_type_symbol
_atom_site_fract_x
_atom_site_fract_y
_atom_site_fract_z
Ag1 Ag 0.500 0.196 0.250
Ag2 Ag 0.000 0.243 0.250
Ag3 Ag 0.500 0.290 0.250
Ag4 Ag 0.000 0.337 0.250
Ag5 Ag 0.500 0.384 0.250
Ag6 Ag 0.000 0.430 0.250
Ag7 Ag 0.500 0.477 0.250
Ag8 Ag 0.000 0.523 0.250
Ag9 Ag 0.500 0.570 0.250
Ag10 Ag 0.000 0.617 0.250
Ag11 Ag 0.500 0.663 0.250
Ag12 Ag 0.000 0.710 0.250
Ag13 Ag 0.500 0.756 0.250
Ag14 Ag 0.000 0.805 0.250
Ag15 Ag 0.500 0.851 0.250
Ag16 Ag 0.500 0.149 0.750
Ag17 Ag 0.000 0.195 0.750
Ag18 Ag 0.500 0.244 0.750
Ag19 Ag 0.000 0.290 0.750
Ag20 Ag 0.500 0.337 0.750
Ag21 Ag 0.000 0.383 0.750
Ag22 Ag 0.500 0.430 0.750
Ag23 Ag 0.000 0.477 0.750
Ag24 Ag 0.500 0.523 0.750
Ag25 Ag 0.000 0.570 0.750
Ag26 Ag 0.500 0.616 0.750
Ag27 Ag 0.000 0.663 0.750
Ag28 Ag 0.500 0.710 0.750
Ag29 Ag 0.000 0.757 0.750
Ag30 Ag 0.500 0.804 0.750
Te1 Te 0.000 0.141 0.250
Te2 Te 0.000 0.859 0.750
```

Stability check: which of them is most stable? A.

## A
VASP calculation (PBE) on a geometry-optimized Ag7Te structure.

```
data_Ag7Te
_cell_length_a 2.908
_cell_length_b 4.015
_cell_length_c 34.711
_cell_angle_alpha 90.00
_cell_angle_beta 90.00
_cell_angle_gamma 90.00
_space_group_name_H-M_alt 'P 1'
_space_group_IT_number 1
_space_group_name_Hall 'P 1'
loop_
_atom_site_label
_atom_site_type_symbol
_atom_site_fract_x
_atom_site_fract_y
_atom_site_fract_z
Ag1 Ag 0.500 0.500 0.219
Ag2 Ag 0.000 0.000 0.263
Ag3 Ag 0.500 0.500 0.306
Ag4 Ag 0.000 0.000 0.350
Ag5 Ag 0.500 0.500 0.392
Ag6 Ag 0.000 0.000 0.436
Ag7 Ag 0.500 0.500 0.478
Ag8 Ag 0.000 0.000 0.522
Ag9 Ag 0.500 0.500 0.564
Ag10 Ag 0.000 0.000 0.608
Ag11 Ag 0.500 0.500 0.650
Ag12 Ag 0.000 0.000 0.694
Ag13 Ag 0.500 0.500 0.737
Ag14 Ag 0.000 0.000 0.781
Te1 Te 0.000 0.000 0.168
Te2 Te 0.500 0.500 0.832
```

## B
VASP calculation (PBE) on a geometry-optimized Ag7Te structure.

```
data_Ag7Te
_cell_length_a 2.957
_cell_length_b 2.957
_cell_length_c 43.642
_cell_angle_alpha 90.00
_cell_angle_beta 90.00
_cell_angle_gamma 90.00
_space_group_name_H-M_alt 'P 1'
_space_group_IT_number 1
_space_group_name_Hall 'P 1'
loop_
_atom_site_label
_atom_site_type_symbol
_atom_site_fract_x
_atom_site_fract_y
_atom_site_fract_z
Ag1 Ag 0.000 0.000 0.200
Ag2 Ag 0.500 0.500 0.247
Ag3 Ag 0.000 0.000 0.294
Ag4 Ag 0.500 0.500 0.340
Ag5 Ag 0.000 0.000 0.386
Ag6 Ag 0.500 0.500 0.431
Ag7 Ag 0.000 0.000 0.477
Ag8 Ag 0.500 0.500 0.523
Ag9 Ag 0.000 0.000 0.569
Ag10 Ag 0.500 0.500 0.614
Ag11 Ag 0.000 0.000 0.660
Ag12 Ag 0.500 0.500 0.706
Ag13 Ag 0.000 0.000 0.753
Ag14 Ag 0.500 0.500 0.800
Te1 Te 0.500 0.500 0.141
Te2 Te 0.000 0.000 0.859
```

Stability check: which of them is most stable? A.

## A
VASP calculation (PBE) on a geometry-optimized Ag9Te structure.

```
data_Ag9Te
_cell_length_a 2.973
_cell_length_b 2.973
_cell_length_c 50.112
_cell_angle_alpha 90.00
_cell_angle_beta 90.00
_cell_angle_gamma 90.00
_space_group_name_H-M_alt 'P 1'
_space_group_IT_number 1
_space_group_name_Hall 'P 1'
loop_
_atom_site_label
_atom_site_type_symbol
_atom_site_fract_x
_atom_site_fract_y
_atom_site_fract_z
Ag1 Ag 0.500 0.000 0.160
Ag2 Ag 0.000 0.500 0.201
Ag3 Ag 0.500 0.000 0.241
Ag4 Ag 0.000 0.500 0.282
Ag5 Ag 0.500 0.000 0.322
Ag6 Ag 0.000 0.500 0.362
Ag7 Ag 0.500 0.000 0.401
Ag8 Ag 0.000 0.500 0.441
Ag9 Ag 0.500 0.000 0.480
Ag10 Ag 0.000 0.500 0.520
Ag11 Ag 0.500 0.000 0.559
Ag12 Ag 0.000 0.500 0.599
Ag13 Ag 0.500 0.000 0.638
Ag14 Ag 0.000 0.500 0.678
Ag15 Ag 0.500 0.000 0.718
Ag16 Ag 0.000 0.500 0.759
Ag17 Ag 0.500 0.000 0.799
Ag18 Ag 0.000 0.500 0.840
Te1 Te 0.000 0.500 0.109
Te2 Te 0.500 0.000 0.891
```

## B
VASP calculation (PBE) on a geometry-optimized Ag9Te structure.

```
data_Ag9Te
_cell_length_a 2.955
_cell_length_b 3.990
_cell_length_c 39.795
_cell_angle_alpha 90.00
_cell_angle_beta 90.00
_cell_angle_gamma 90.00
_space_group_name_H-M_alt 'P 1'
_space_group_IT_number 1
_space_group_name_Hall 'P 1'
loop_
_atom_site_label
_atom_site_type_symbol
_atom_site_fract_x
_atom_site_fract_y
_atom_site_fract_z
Ag1 Ag 0.500 0.500 0.179
Ag2 Ag 0.000 0.000 0.218
Ag3 Ag 0.500 0.500 0.255
Ag4 Ag 0.000 0.000 0.294
Ag5 Ag 0.500 0.500 0.331
Ag6 Ag 0.000 0.000 0.369
Ag7 Ag 0.500 0.500 0.406
Ag8 Ag 0.000 0.000 0.444
Ag9 Ag 0.500 0.500 0.481
Ag10 Ag 0.000 0.000 0.519
Ag11 Ag 0.500 0.500 0.556
Ag12 Ag 0.000 0.000 0.594
Ag13 Ag 0.500 0.500 0.631
Ag14 Ag 0.000 0.000 0.669
Ag15 Ag 0.500 0.500 0.706
Ag16 Ag 0.000 0.000 0.745
Ag17 Ag 0.500 0.500 0.782
Ag18 Ag 0.000 0.000 0.821
Te1 Te 0.000 0.000 0.134
Te2 Te 0.500 0.500 0.866
```

Stability check: which of them is most stable? B.

## A
VASP calculation (PBE) on a geometry-optimized Tl2AgTe structure.

```
data_Tl2AgTe
_cell_length_a 4.455
_cell_length_b 4.455
_cell_length_c 7.904
_cell_angle_alpha 90.00
_cell_angle_beta 90.00
_cell_angle_gamma 120.00
_space_group_name_H-M_alt 'P 1'
_space_group_IT_number 1
_space_group_name_Hall 'P 1'
loop_
_atom_site_label
_atom_site_type_symbol
_atom_site_fract_x
_atom_site_fract_y
_atom_site_fract_z
Ag1 Ag 0.333 0.667 0.419
Te1 Te 0.000 0.000 0.997
Tl1 Tl 0.667 0.333 0.253
Tl2 Tl 0.333 0.667 0.774
```

## B
VASP calculation (PBE) on a geometry-optimized Tl2AgTe structure.

```
data_Tl2AgTe
_cell_length_a 5.418
_cell_length_b 5.418
_cell_length_c 5.418
_cell_angle_alpha 60.00
_cell_angle_beta 60.00
_cell_angle_gamma 60.00
_space_group_name_H-M_alt 'P 1'
_space_group_IT_number 1
_space_group_name_Hall 'P 1'
loop_
_atom_site_label
_atom_site_type_symbol
_atom_site_fract_x
_atom_site_fract_y
_atom_site_fract_z
Ag1 Ag 0.500 0.500 0.500
Te1 Te 0.750 0.750 0.750
Tl1 Tl 0.000 0.000 0.000
Tl2 Tl 0.250 0.250 0.250
```

Stability check: which of them is most stable? A.